A plane-wave DFT calculation with GGA-PBE was carried out for Ni2BRh after structural relaxation.

Results
* magnetic moment: 0.00 μB per cell
* E_form: 0.245 eV/atom
* raw total energy: -6.153 eV/atom

Cell: 3.543 3.543 4.569 Å, 67.19 67.19 60.00°
Fractional positions:
Ni (0.785, 0.785, 0.644)
Ni (0.215, 0.215, 0.356)
B (0.500, 0.500, 0.500)
Rh (0.000, 0.000, 0.000)

A plane-wave DFT calculation with GGA-PBE was carried out for MgPb2W after structural relaxation.

Results
* magnetic moment: 0.00 μB per cell
* E_form: 0.678 eV/atom
* raw total energy: -4.813 eV/atom

Cell: 3.686 3.688 6.567 Å, 90.00 90.00 90.00°
Fractional positions:
Mg (0.500, 0.500, 0.750)
Pb (0.000, 0.000, 0.015)
Pb (0.000, 0.000, 0.485)
W (0.500, 0.500, 0.250)

A plane-wave DFT calculation with GGA-PBE was carried out for ZnAg4Br after structural relaxation.

Results
* magnetic moment: 0.00 μB per cell
* formation energy without anion corrections: 118.5 kJ/mol of formula units
* raw total energy: -2.187 eV/atom

Cell: 5.631 5.631 5.631 Å, 60.00 60.00 60.00°
Fractional positions:
Zn (0.000, 0.000, 0.000)
Ag (0.876, 0.375, 0.375)
Ag (0.375, 0.375, 0.876)
Ag (0.375, 0.876, 0.375)
Ag (0.375, 0.375, 0.375)
Br (0.750, 0.750, 0.750)

Which formula does entry 3 have? ZnAg4Br

What is the magnetic moment in the second record? 0.00 μB per cell